Gd2LuAu | GGA-PBE | optimized geometry

abc: 4.664 4.664 4.821
angles: 90.00 90.00 90.00
Space group P4/mmm (No. 123)
One atom of each set of equivalent atoms:
Gd 0.000 0.500 0.000
Lu 0.000 0.000 0.500
Au 0.500 0.500 0.500

Properties
DOS(E_F): 5.19 states/eV/cell
Crystal system: tetragonal
Energy relative to the elements: -0.2661 eV/atom